1.
Material: TaZn2Si2
Method: DFT, PBE
State: relaxed

a = 6.6915 Å, b = 6.6915 Å, c = 3.4943 Å
α = 90.00°, β = 90.00°, γ = 90.00°
Closest atoms and distances in Å follow each position.
Positions (direct):
1 Zn 0.8333 0.3333 0.5000  6 Si 2.58-2.67
2 Zn 0.3333 0.1667 0.5000  6 Si 2.58-2.67
3 Si 0.1321 0.3679 0.0000  1 Si 2.50, 6 Zn 2.58-2.67, 2 Ta 2.62
4 Ta 0.0000 0.0000 0.0000  4 Si 2.62
5 Si 0.6321 0.1321 0.0000  1 Si 2.50, 6 Zn 2.58-2.67, 2 Ta 2.62
6 Si 0.8679 0.6321 0.0000  1 Si 2.50, 6 Zn 2.58-2.67, 2 Ta 2.62
7 Ta 0.5000 0.5000 0.0000  4 Si 2.62
8 Si 0.3679 0.8679 0.0000  1 Si 2.50, 6 Zn 2.58-2.67, 2 Ta 2.62
9 Zn 0.1667 0.6667 0.5000  6 Si 2.58-2.67
10 Zn 0.6667 0.8333 0.5000  6 Si 2.58-2.67

Results
SG = No. 127
Density of states at the Fermi level = 2.89 states/eV/f.u.
Crystal system = tetragonal
Offset from the most stable computed form = 0 meV/atom
Calculated density = 7.8 g cm⁻³
Total magnetization = 0.00 μB/cell
Raw formation energy = 0.137 eV per atom
VASP energy = -4.91 eV/atom

2.
Material: Pr2AgCl
Method: DFT, PBE
State: relaxed

a = 4.3976 Å, b = 4.3976 Å, c = 7.0931 Å
α = 71.94°, β = 71.94°, γ = 60.00°
Closest atoms and distances in Å follow each position.
Positions (direct):
1 Ag 0.5000 0.5000 0.5000  6 Pr 3.09
2 Pr 0.2550 0.2550 0.2351  3 Cl 2.98, 3 Ag 3.09
3 Cl 0.0000 0.0000 0.0000  6 Pr 2.98
4 Pr 0.7450 0.7450 0.7649  3 Cl 2.98, 3 Ag 3.09

Results
SG = No. 166
Density of states at the Fermi level = 2.96 states/eV/f.u.
Crystal system = trigonal
Offset from the most stable computed form = 0 meV/atom
Calculated density = 6.4 g cm⁻³
Total magnetization = 0.00 μB/cell
Raw formation energy = -0.781 eV per atom
VASP energy = -4.35 eV/atom

3.
Material: Ca12Te3O5
Method: DFT, PBE
State: relaxed

a = 13.9195 Å, b = 13.9195 Å, c = 13.9195 Å
α = 109.47°, β = 109.47°, γ = 109.47°
Closest atoms and distances in Å follow each position.
Positions (direct):
1 O 0.8750 0.2500 0.6250  4 Ca 2.21
2 Te 0.7500 0.8750 0.6250  8 Ca 3.21-3.42
3 Ca 0.9991 0.6059 0.1911  1 O 2.21
4 O 0.5000 0.5000 0.5000  6 Ca 2.58
5 O 0.6250 0.7500 0.8750  4 Ca 2.21
6 Ca 0.1921 0.5009 0.6068  1 O 2.21
7 O 0.5000 0.0000 0.0000  6 Ca 2.58
8 Ca 0.5852 0.6921 0.6911  1 O 2.21
9 O 0.1250 0.7500 0.3750  4 Ca 2.21
10 O 0.3750 0.2500 0.1250  4 Ca 2.21
11 Te 0.3750 0.7500 0.6250  8 Ca 3.21-3.42
12 Ca 0.1068 0.4148 0.1059  1 O 2.21
13 O 0.0000 0.0000 0.5000  6 Ca 2.58
14 Ca 0.6059 0.6068 0.4148  1 O 2.21
15 Ca 0.8941 0.0852 0.8932  1 O 2.21
16 Ca 0.3079 0.4148 0.8089  1 O 2.21
17 Te 0.3750 0.6250 0.2500  8 Ca 3.21-3.42
18 Ca 0.6921 0.1068 0.0009  1 O 2.21
19 Ca 0.3089 0.5009 0.3941  1 O 2.21
20 Ca 0.6911 0.1921 0.5852  1 O 2.21
21 O 0.2500 0.8750 0.1250  4 Ca 2.21
22 Ca 0.5009 0.3089 0.8941  1 O 2.21
23 O 0.0000 0.0000 0.0000  6 Ca 2.58
24 Ca 0.6068 0.0009 0.1921  1 O 2.21
25 Ca 0.8941 0.8089 0.5009  1 O 2.21
26 Ca 0.0852 0.8941 0.3932  1 O 2.21
27 Ca 0.4991 0.6911 0.1059  1 O 2.21
28 Ca 0.1921 0.6911 0.0852  1 O 2.21
29 Te 0.1250 0.2500 0.8750  8 Ca 3.21-3.42
30 Ca 0.3089 0.8079 0.4148  1 O 2.21
31 Te 0.8750 0.1250 0.2500  8 Ca 3.21-3.42
32 O 0.5000 0.0000 0.5000  6 Ca 2.58
33 Ca 0.1068 0.6921 0.5009  1 O 2.21
34 Ca 0.9148 0.8089 0.8079  1 O 2.21
35 Ca 0.6068 0.6059 0.9148  1 O 2.21
36 Ca 0.5009 0.1921 0.1068  1 O 2.21
37 Ca 0.9148 0.1059 0.6068  1 O 2.21
38 O 0.0000 0.5000 0.0000  6 Ca 2.58
39 Ca 0.3941 0.3932 0.5852  1 O 2.21
40 Ca 0.8079 0.3089 0.9148  1 O 2.21
41 O 0.1250 0.3750 0.2500  4 Ca 2.21
42 Ca 0.4148 0.3079 0.3089  1 O 2.21
43 Ca 0.4991 0.8079 0.8932  1 O 2.21
44 Ca 0.4148 0.1068 0.6059  1 O 2.21
45 Ca 0.0852 0.1911 0.1921  1 O 2.21
46 Ca 0.0009 0.3941 0.8089  1 O 2.21
47 Ca 0.8079 0.4991 0.3932  1 O 2.21
48 Ca 0.8932 0.5852 0.8941  1 O 2.21
49 O 0.0000 0.5000 0.5000  6 Ca 2.58
50 Te 0.1250 0.8750 0.7500  8 Ca 3.21-3.42
51 Te 0.7500 0.3750 0.1250  8 Ca 3.21-3.42
52 Ca 0.1911 0.1059 0.9991  1 O 2.21
53 Ca 0.3932 0.3941 0.0852  1 O 2.21
54 Ca 0.1911 0.0852 0.6921  1 O 2.21
55 Ca 0.3932 0.9991 0.8079  1 O 2.21
56 Ca 0.0009 0.6068 0.6921  1 O 2.21
57 Ca 0.8932 0.3079 0.4991  1 O 2.21
58 Ca 0.6059 0.9991 0.6911  1 O 2.21
59 O 0.8750 0.6250 0.7500  4 Ca 2.21
60 O 0.7500 0.1250 0.8750  4 Ca 2.21
61 O 0.3750 0.1250 0.7500  4 Ca 2.21
62 Ca 0.3079 0.8932 0.9991  1 O 2.21
63 O 0.6250 0.8750 0.2500  4 Ca 2.21
64 Ca 0.6911 0.4991 0.6059  1 O 2.21
65 Ca 0.6921 0.5852 0.1911  1 O 2.21
66 Ca 0.3941 0.0009 0.3089  1 O 2.21
67 Te 0.2500 0.6250 0.8750  8 Ca 3.21-3.42
68 O 0.2500 0.3750 0.6250  4 Ca 2.21
69 Ca 0.9991 0.3932 0.3079  1 O 2.21
70 Te 0.8750 0.7500 0.1250  8 Ca 3.21-3.42
71 Ca 0.8089 0.8941 0.0009  1 O 2.21
72 Ca 0.1059 0.1911 0.4991  1 O 2.21
73 Ca 0.1059 0.9148 0.1068  1 O 2.21
74 Ca 0.5852 0.8932 0.3941  1 O 2.21
75 Te 0.6250 0.3750 0.7500  8 Ca 3.21-3.42
76 Te 0.6250 0.2500 0.3750  8 Ca 3.21-3.42
77 Ca 0.8089 0.9148 0.3079  1 O 2.21
78 O 0.5000 0.5000 0.0000  6 Ca 2.58
79 Te 0.2500 0.1250 0.3750  8 Ca 3.21-3.42
80 O 0.7500 0.6250 0.3750  4 Ca 2.21

Results
SG = No. 230
Density of states at the Fermi level = 11.71 states/eV/f.u.
Crystal system = cubic
Calculated density = 3.0 g cm⁻³
Total magnetization = 0.00 μB/cell
Raw formation energy = -1.704 eV per atom
VASP energy = -4.62 eV/atom

4.
Material: DyTm3Au2
Method: DFT, PBE
State: relaxed

a = 4.9036 Å, b = 7.0629 Å, c = 8.8432 Å
α = 90.00°, β = 90.00°, γ = 90.00°
Closest atoms and distances in Å follow each position.
Positions (direct):
1 Au 0.5000 0.2439 0.1491  6 Tm 2.86-3.13, 1 Dy 2.94
2 Au 0.5000 0.7439 0.8509  6 Tm 2.86-3.13, 1 Dy 2.94
3 Tm 0.0000 0.8513 0.6714  4 Au 2.87-3.02
4 Dy 0.5000 0.5140 0.5735  3 Au 2.94-3.13
5 Tm 0.5000 0.1486 0.8300  4 Au 2.86-3.01
6 Tm 0.0000 0.9857 0.0724  3 Au 2.92-3.13
7 Dy 0.5000 0.0140 0.4265  3 Au 2.94-3.13
8 Tm 0.0000 0.4857 0.9276  3 Au 2.92-3.13
9 Tm 0.5000 0.6486 0.1700  4 Au 2.86-3.01
10 Au 0.0000 0.2565 0.6523  5 Tm 2.87-3.01, 2 Dy 3.13
11 Tm 0.0000 0.3513 0.3286  4 Au 2.87-3.02
12 Au 0.0000 0.7565 0.3477  5 Tm 2.87-3.01, 2 Dy 3.13

Results
SG = No. 26
Density of states at the Fermi level = 5.81 states/eV/f.u.
Crystal system = orthorhombic
Offset from the most stable computed form = 0 meV/atom
Calculated density = 11.5 g cm⁻³
Total magnetization = 0.00 μB/cell
VASP energy = -4.76 eV/atom
Formation energy from the elements = -0.660 eV/atom

5.
Material: SmGa5Pd2Au
Method: DFT, PBE
State: relaxed

a = 4.2753 Å, b = 4.2753 Å, c = 10.5642 Å
α = 90.00°, β = 90.00°, γ = 90.00°
Closest atoms and distances in Å follow each position.
Positions (direct):
1 Pd 0.5000 0.5000 0.2772  5 Ga 2.35-2.50
2 Au 0.0000 0.0000 0.0000  8 Ga 2.69
3 Sm 0.0000 0.0000 0.5000  4 Ga 3.02
4 Ga 0.0000 0.5000 0.1550  2 Pd 2.50, 2 Au 2.69
5 Ga 0.5000 0.0000 0.1550  2 Pd 2.50, 2 Au 2.69
6 Pd 0.5000 0.5000 0.7228  5 Ga 2.35-2.50
7 Ga 0.5000 0.0000 0.8450  2 Pd 2.50, 2 Au 2.69
8 Ga 0.0000 0.5000 0.8450  2 Pd 2.50, 2 Au 2.69
9 Ga 0.5000 0.5000 0.5000  2 Pd 2.35

Results
SG = No. 123
Density of states at the Fermi level = 3.27 states/eV/f.u.
Crystal system = tetragonal
Calculated density = 7.8 g cm⁻³
Total magnetization = 0.00 μB/cell
VASP energy = -4.06 eV/atom
Formation energy from the elements = -0.335 eV/atom

6.
Material: YSn3Bi
Method: DFT, PBE
State: relaxed

a = 5.7684 Å, b = 5.7684 Å, c = 5.7684 Å
α = 90.00°, β = 90.00°, γ = 90.00°
Closest atoms and distances in Å follow each position.
Positions (direct):
1 Sn 0.0000 0.0000 0.5000  2 Y 2.88
2 Bi 0.5000 0.5000 0.5000  12 Sn 4.08
3 Sn 0.0000 0.5000 0.0000  2 Y 2.88
4 Y 0.0000 0.0000 0.0000  6 Sn 2.88
5 Sn 0.5000 0.0000 0.0000  2 Y 2.88

Results
SG = No. 221
Density of states at the Fermi level = 5.61 states/eV/f.u.
Crystal system = cubic
Offset from the most stable computed form = 0 meV/atom
Calculated density = 5.7 g cm⁻³
Total magnetization = 0.00 μB/cell
VASP energy = -3.95 eV/atom
Formation energy from the elements = 0.522 eV/atom

7.
Material: NbBO4
Method: DFT, PBE
State: relaxed

a = 4.3682 Å, b = 4.3682 Å, c = 7.8917 Å
α = 90.00°, β = 90.00°, γ = 90.00°
Closest atoms and distances in Å follow each position.
Positions (direct):
1 O 0.1907 0.7836 0.1037  1 B 1.50
2 Nb 0.5000 0.0000 0.7500  4 O 1.89
3 O 0.8093 0.2164 0.1037  1 B 1.50
4 O 0.1907 0.2164 0.3963  1 B 1.50
5 O 0.7836 0.8093 0.8963  1 B 1.50
6 B 0.0000 0.0000 0.0000  4 O 1.50
7 O 0.8093 0.7836 0.3963  1 B 1.50
8 O 0.2164 0.8093 0.6037  1 B 1.50
9 O 0.7836 0.1907 0.6037  1 B 1.50
10 O 0.2164 0.1907 0.8963  1 B 1.50
11 B 0.0000 0.0000 0.5000  4 O 1.50
12 Nb 0.0000 0.5000 0.2500  4 O 1.89

Results
SG = No. 112
Density of states at the Fermi level = 0.00 states/eV/f.u.
Crystal system = tetragonal
Calculated density = 3.7 g cm⁻³
Total magnetization = 0.00 μB/cell
Raw formation energy = -2.187 eV per atom
VASP energy = -8.28 eV/atom

8.
Material: SmMnB14
Method: DFT, PBE
State: relaxed

a = 5.8564 Å, b = 7.4047 Å, c = 7.4047 Å
α = 68.10°, β = 66.71°, γ = 66.71°
Closest atoms and distances in Å follow each position.
Positions (direct):
1 B 0.6743 0.0296 0.1249  6 B 1.72-1.86
2 B 0.5838 0.2472 0.5853  6 B 1.72-1.88
3 B 0.1663 0.8024 0.8650  6 B 1.80-1.88
4 B 0.0838 0.0853 0.7472  6 B 1.72-1.88
5 B 0.2208 0.7788 0.1000  6 B 1.81-1.88
6 B 0.2792 0.4000 0.7212  6 B 1.81-1.88
7 B 0.3719 0.9959 0.2604  3 B 1.72
8 B 0.8288 0.9704 0.8751  6 B 1.72-1.86
9 B 0.1743 0.6249 0.5296  6 B 1.72-1.86
10 B 0.5996 0.4000 0.7212  6 B 1.81-1.88
11 B 0.0996 0.2212 0.9000  6 B 1.81-1.88
12 Sm 0.7500 0.6223 0.8777  6 B 2.52-2.78
13 B 0.6663 0.3650 0.3024  6 B 1.80-1.88
14 B 0.1712 0.0296 0.1249  6 B 1.72-1.86
15 B 0.7208 0.6000 0.2788  6 B 1.81-1.88
16 B 0.1281 0.2396 0.5041  3 B 1.72
17 Mn 0.5000 0.0000 0.5000  8 B 2.20-2.41
18 B 0.4004 0.6000 0.2788  6 B 1.81-1.88
19 B 0.7792 0.2212 0.9000  6 B 1.81-1.88
20 B 0.8337 0.1976 0.1350  6 B 1.80-1.88
21 B 0.9162 0.9147 0.2528  6 B 1.72-1.88
22 B 0.6712 0.6249 0.5296  6 B 1.72-1.86
23 B 0.9004 0.7788 0.1000  6 B 1.81-1.88
24 B 0.3288 0.3751 0.4704  6 B 1.72-1.86
25 B 0.8257 0.3751 0.4704  6 B 1.72-1.86
26 Mn 0.0000 0.0000 0.5000  8 B 2.20-2.41
27 B 0.6281 0.0041 0.7396  3 B 1.72
28 Sm 0.2500 0.3777 0.1223  6 B 2.52-2.78
29 B 0.4162 0.7528 0.4147  6 B 1.72-1.88
30 B 0.3257 0.9704 0.8751  6 B 1.72-1.86
31 B 0.3337 0.6350 0.6976  6 B 1.80-1.88
32 B 0.8719 0.7604 0.4959  3 B 1.72

Results
SG = No. 74
Density of states at the Fermi level = 3.07 states/eV/f.u.
Crystal system = orthorhombic
Calculated density = 4.5 g cm⁻³
Total magnetization = 7.47 μB/cell
VASP energy = -6.87 eV/atom
Formation energy from the elements = -0.164 eV/atom

9.
Material: Sm4SnPd
Method: DFT, PBE
State: relaxed

a = 5.5040 Å, b = 6.4921 Å, c = 10.7165 Å
α = 90.00°, β = 104.88°, γ = 90.00°
Closest atoms and distances in Å follow each position.
Positions (direct):
1 Pd 0.5816 0.8222 0.1633  5 Sm 2.78-3.01
2 Sn 0.8483 0.8223 0.6966  10 Sm 3.34-3.45
3 Sn 0.1517 0.3223 0.3034  10 Sm 3.34-3.45
4 Sm 0.7024 0.0782 0.4049  1 Pd 3.00, 2 Sm 3.17-3.32, 2 Sn 3.34
5 Sm 0.7025 0.5662 0.4050  1 Pd 3.01, 2 Sm 3.17-3.32, 2 Sn 3.35
6 Sm 0.5527 0.3223 0.1054  1 Pd 2.78
7 Sm 0.8910 0.3222 0.7820  2 Pd 2.81
8 Pd 0.4184 0.3222 0.8367  5 Sm 2.78-3.01
9 Sm 0.2976 0.5782 0.5951  1 Pd 3.00, 2 Sm 3.17-3.32, 2 Sn 3.34
10 Sm 0.4473 0.8223 0.8946  1 Pd 2.78
11 Sm 0.2975 0.0662 0.5950  1 Pd 3.01, 2 Sm 3.17-3.32, 2 Sn 3.35
12 Sm 0.1090 0.8222 0.2180  2 Pd 2.81

Results
SG = No. 63
Density of states at the Fermi level = 7.26 states/eV/f.u.
Crystal system = orthorhombic
Calculated density = 7.4 g cm⁻³
Total magnetization = 0.00 μB/cell
VASP energy = -5.10 eV/atom
Formation energy from the elements = -0.417 eV/atom

10.
Material: TlGaO2
Method: DFT, PBE
State: relaxed

a = 6.9366 Å, b = 6.9366 Å, c = 5.6486 Å
α = 52.12°, β = 52.12°, γ = 90.00°
Closest atoms and distances in Å follow each position.
Positions (direct):
1 Tl 0.2500 0.2500 0.5000  2 Tl 2.80, 8 O 3.04
2 Tl 0.7500 0.7500 0.5000  2 Tl 2.80, 8 O 3.04
3 O 0.8656 0.3656 0.0000  2 Ga 1.92
4 O 0.6344 0.8656 0.0000  2 Ga 1.92
5 O 0.1344 0.6344 0.0000  2 Ga 1.92
6 O 0.3656 0.1344 0.0000  2 Ga 1.92
7 Ga 0.7500 0.2500 0.5000  4 O 1.92
8 Ga 0.2500 0.7500 0.5000  4 O 1.92

Results
SG = No. 140
Density of states at the Fermi level = 0.00 states/eV/f.u.
Crystal system = tetragonal
Offset from the most stable computed form = 225 meV/atom
Calculated density = 7.5 g cm⁻³
Total magnetization = 0.00 μB/cell
Raw formation energy = -1.181 eV per atom
VASP energy = -5.01 eV/atom

11.
Material: Cd2HgGe2Pd5
Method: DFT, PBE
State: relaxed

a = 3.6007 Å, b = 9.9021 Å, c = 9.9021 Å
α = 90.00°, β = 90.00°, γ = 90.00°
Closest atoms and distances in Å follow each position.
Positions (direct):
1 Pd 0.5000 0.2972 0.5832  2 Ge 2.50
2 Pd 0.5000 0.4168 0.2972  2 Ge 2.50
3 Pd 0.5000 0.9168 0.2028  2 Ge 2.50
4 Hg 0.0000 0.0000 0.0000  8 Pd 2.82
5 Pd 0.5000 0.7972 0.9168  2 Ge 2.50
6 Pd 0.5000 0.2028 0.0832  2 Ge 2.50
7 Ge 0.0000 0.1286 0.6286  6 Pd 2.50-2.55
8 Cd 0.0000 0.8298 0.6702  3 Ge 2.82-2.99, 6 Pd 2.99-3.05
9 Pd 0.5000 0.0832 0.7972  2 Ge 2.50
10 Hg 0.0000 0.5000 0.5000  8 Pd 2.82
11 Pd 0.5000 0.0000 0.5000  4 Ge 2.55
12 Pd 0.5000 0.7028 0.4168  2 Ge 2.50
13 Cd 0.0000 0.6702 0.1702  3 Ge 2.82-2.99, 6 Pd 2.99-3.05
14 Ge 0.0000 0.6286 0.8714  6 Pd 2.50-2.55
15 Ge 0.0000 0.8714 0.3714  6 Pd 2.50-2.55
16 Pd 0.5000 0.5000 0.0000  4 Ge 2.55
17 Ge 0.0000 0.3714 0.1286  6 Pd 2.50-2.55
18 Cd 0.0000 0.1702 0.3298  3 Ge 2.82-2.99, 6 Pd 2.99-3.05
19 Cd 0.0000 0.3298 0.8298  3 Ge 2.82-2.99, 6 Pd 2.99-3.05
20 Pd 0.5000 0.5832 0.7028  2 Ge 2.50

Results
SG = No. 127
Density of states at the Fermi level = 5.34 states/eV/f.u.
Crystal system = tetragonal
Calculated density = 10.4 g cm⁻³
Total magnetization = 0.00 μB/cell
VASP energy = -4.01 eV/atom
Formation energy from the elements = -0.278 eV/atom

12.
Material: ZrTa2Hg
Method: DFT, PBE
State: relaxed

a = 4.5415 Å, b = 2.9817 Å, c = 6.1757 Å
α = 72.92°, β = 90.00°, γ = 90.00°
Closest atoms and distances in Å follow each position.
Positions (direct):
1 Hg 0.5000 0.7611 0.7552  6 Ta 2.96-3.19, 2 Hg 2.98, 4 Zr 3.12-3.20
2 Ta 0.0000 0.0590 0.0201  4 Ta 2.77-2.98, 1 Zr 2.90, 2 Hg 3.08
3 Zr 0.0000 0.4539 0.4829  4 Ta 2.90-3.18, 2 Zr 2.98, 4 Hg 3.12-3.20
4 Ta 0.5000 0.2261 0.2418  4 Ta 2.77-2.98, 2 Zr 2.90, 2 Hg 2.96-3.06

Results
SG = No. 6
Density of states at the Fermi level = 3.51 states/eV/f.u.
Crystal system = monoclinic
Calculated density = 13.6 g cm⁻³
Total magnetization = 0.00 μB/cell
VASP energy = -7.96 eV/atom
Formation energy from the elements = 0.178 eV/atom